Record 1
A relaxed Mg2Nb2Cu crystal. Source: Alexandria, functional PBE.

```
Mg2Nb2Cu
1.0
-1.8852 1.8852 6.9939
1.8852 -1.8852 6.9939
1.8852 1.8852 -6.9939
Mg Nb Cu
2 2 1
direct
0.2500 0.7500 0.5000
0.7500 0.2500 0.5000
0.0802 0.0802 0.0000
0.9198 0.9198 0.0000
0.5000 0.5000 0.0000
```

The crystal system is tetragonal. Its symmetry is I4/mmm. The value obtained for the polymorph energy (0 for the lowest one) is 62 meV per atom. For the density of states at the Fermi level, the calculation gives 5.5 states/eV/cell. The formation energy is 0.736 eV/atom.

***

Record 2
A relaxed Mg2NbCu2 crystal. Source: Alexandria, functional PBE.

```
Mg2NbCu2
1.0
7.4983 0.0000 0.0000
0.0000 7.4983 0.0000
0.0000 0.0000 2.8736
Mg Nb Cu
4 2 4
direct
0.1684 0.3316 0.0000
0.3316 0.8316 0.0000
0.6684 0.1684 0.0000
0.8316 0.6684 0.0000
0.0000 0.0000 0.5000
0.5000 0.5000 0.5000
0.1285 0.6285 0.5000
0.3715 0.1285 0.5000
0.6285 0.8715 0.5000
0.8715 0.3715 0.5000
```

The crystal system is tetragonal. Its symmetry is P4/mbm. The value obtained for the polymorph energy (0 for the lowest one) is 0 meV per atom. For the density of states at the Fermi level, the calculation gives 5.7 states/eV/cell. The formation energy is 0.151 eV/atom.

***

> Among the records above, which one has the highest polymorph energy (0 for the lowest one)?

Mg2Nb2Cu

***

> Look up the polymorph energy (0 for the lowest one) of the first one.

62 meV per atom

***

> Which of these has the lowest polymorph energy (0 for the lowest one)?

Mg2NbCu2

***

> The highest polymorph energy (0 for the lowest one) belongs to which entry?

Mg2Nb2Cu